Here is Rb2HfNbF6 after structural relaxation from Alexandria. Energies are from PBE-GGA.

a = 6.3104 Å, b = 6.3104 Å, c = 6.3104 Å
α = 119.89°, β = 119.89°, γ = 90.18°
With the nearest neighbours (Å) after each atom.
Element x y z (fractional)
Rb 0.2500 0.7500 0.5000  12 F 3.16
Rb 0.7500 0.2500 0.5000  12 F 3.16
Hf 0.0000 0.0000 0.0000  6 F 2.11
Nb 0.5000 0.5000 0.0000  6 F 2.34-2.36
F 0.2370 0.2370 0.0000  1 Hf 2.11, 1 Nb 2.34
F 0.2365 0.2365 0.4730  1 Hf 2.11, 1 Nb 2.36
F 0.2365 0.7635 0.0000  1 Hf 2.11, 1 Nb 2.36
F 0.7635 0.2365 0.0000  1 Hf 2.11, 1 Nb 2.36
F 0.7630 0.7630 0.0000  1 Hf 2.11, 1 Nb 2.34
F 0.7635 0.7635 0.5270  1 Hf 2.11, 1 Nb 2.36

Calculated values
- uncorrected formation energy (eV/atom) = -2.348